1.
A relaxed structure of CsLi2ScSi, computed with PBE.

a b c (Å): 5.1912 5.1912 6.3472
angles (deg): 90.00 90.00 90.00
Space group P4/mmm (No. 123)
One atom of each set of equivalent atoms:
1 Cs 0.0000 0.0000 0.0000
2 Li 0.0000 0.5000 0.5000
3 Sc 0.5000 0.5000 0.0000
4 Si 0.0000 0.0000 0.5000

Values from the calculation:
N(E_F): 4.4 states/eV per cell
Uncorrected energy: -0.0922 hartree per atom
Formation energy without anion corrections: 0.779 eV/atom

2.
A relaxed structure of CsLiSc2Tc, computed with PBE.

a b c (Å): 5.2499 5.2499 4.3471
angles (deg): 90.00 90.00 90.00
Space group P4/mmm (No. 123)
One atom of each set of equivalent atoms:
1 Cs 0.0000 0.0000 0.0000
2 Li 0.0000 0.0000 0.5000
3 Sc 0.0000 0.5000 0.0000
4 Tc 0.5000 0.5000 0.5000

Values from the calculation:
N(E_F): 6.4 states/eV per cell
Uncorrected energy: -0.1209 hartree per atom
Energy of formation from the pure elements: 1.8699 eV/atom

3.
A relaxed structure of CsLiScTe2, computed with PBE.

a b c (Å): 6.6651 16.2056 6.9107
angles (deg): 90.00 90.00 90.00
Space group Cmme (No. 67)
One atom of each set of equivalent atoms:
1 Cs 0.0000 0.2500 0.2389
2 Li 0.0000 0.0000 0.0000
3 Sc 0.2500 0.0000 0.5000
4 Te 0.0000 0.1103 0.7227

Values from the calculation:
N(E_F): 9.8 states/eV per cell
Uncorrected energy: -0.1489 hartree per atom
Formation energy without anion corrections: -0.975 eV/atom